No. 1
Ba2AgAu: single point on PBEsol structure, meta-GGA SCAN.

The structure in CIF format:
```
data_Ba2AgAu
_space_group_name_H-M_alt 'P 1'
_space_group_IT_number 1
_space_group_name_Hall 'P 1'
_cell_length_a 4.6827
_cell_length_b 4.6827
_cell_length_c 8.1519
_cell_angle_alpha 73.31
_cell_angle_beta 73.31
_cell_angle_gamma 60.00
loop_
_atom_site_label
_atom_site_fract_x
_atom_site_fract_y
_atom_site_fract_z
_atom_site_occupancy
Au1 0.5000 0.5000 0.5000 1
Ba1 0.2462 0.2462 0.2615 1
Ba2 0.7538 0.7538 0.7385 1
Ag1 0.0000 0.0000 0.0000 1
```

- Final energy: -181.68 eV per cell
- M_tot: 0.000 μB/f.u.
- Space group: R-3m

No. 2
Ba2AgAu: single point on PBEsol structure, meta-GGA SCAN.

The structure in CIF format:
```
data_Ba2AgAu
_space_group_name_H-M_alt 'P 1'
_space_group_IT_number 1
_space_group_name_Hall 'P 1'
_cell_length_a 4.6635
_cell_length_b 4.6635
_cell_length_c 6.5203
_cell_angle_alpha 110.95
_cell_angle_beta 110.95
_cell_angle_gamma 90.00
loop_
_atom_site_label
_atom_site_fract_x
_atom_site_fract_y
_atom_site_fract_z
_atom_site_occupancy
Ba1 0.7500 0.2500 0.5000 1
Ba2 0.0000 0.0000 0.0000 1
Ag1 0.5000 0.5000 0.0000 1
Au1 0.2500 0.7500 0.5000 1
```

- Final energy: -180.99 eV per cell
- M_tot: 0.000 μB/f.u.
- Space group: I-4m2

No. 3
Ba4AgAuO6: single point on PBEsol structure, meta-GGA SCAN.

The structure in CIF format:
```
data_Ba4AgAuO6
_space_group_name_H-M_alt 'P 1'
_space_group_IT_number 1
_space_group_name_Hall 'P 1'
_cell_length_a 5.7835
_cell_length_b 7.2043
_cell_length_c 11.3898
_cell_angle_alpha 90.00
_cell_angle_beta 90.00
_cell_angle_gamma 113.67
loop_
_atom_site_label
_atom_site_fract_x
_atom_site_fract_y
_atom_site_fract_z
_atom_site_occupancy
O1 0.5645 0.3172 0.2500 1
O2 0.2473 0.6828 0.2500 1
O3 0.4355 0.6828 0.7500 1
O4 0.1541 0.3082 0.5000 1
O5 0.7527 0.3172 0.7500 1
O6 0.2695 0.0000 0.8896 1
O7 0.7305 0.0000 0.3896 1
O8 0.8459 0.6918 0.0000 1
O9 0.8459 0.6918 0.5000 1
O10 0.7305 0.0000 0.1104 1
O11 0.2695 0.0000 0.6104 1
O12 0.1541 0.3082 0.0000 1
Ba1 0.9180 0.7089 0.7500 1
Ba2 0.2091 0.2911 0.7500 1
Ba3 0.0820 0.2911 0.2500 1
Ba4 0.6463 0.2926 0.0000 1
Ba5 0.7909 0.7089 0.2500 1
Ba6 0.3537 0.7074 0.0000 1
Ba7 0.6463 0.2926 0.5000 1
Ba8 0.3537 0.7074 0.5000 1
Au1 0.0000 0.0000 0.5000 1
Au2 0.0000 0.0000 0.0000 1
Ag1 0.4086 0.0000 0.2500 1
Ag2 0.5914 0.0000 0.7500 1
```

- Raw formation energy: -2.09 eV/atom
- M_tot: 0.000 μB/f.u.
- Space group: Cmcm

No. 4
BaAgRhAu2: single point on PBEsol structure, meta-GGA SCAN.

The structure in CIF format:
```
data_BaAgRhAu2
_space_group_name_H-M_alt 'P 1'
_space_group_IT_number 1
_space_group_name_Hall 'P 1'
_cell_length_a 5.0789
_cell_length_b 5.0789
_cell_length_c 5.2275
_cell_angle_alpha 90.00
_cell_angle_beta 90.00
_cell_angle_gamma 90.00
loop_
_atom_site_label
_atom_site_fract_x
_atom_site_fract_y
_atom_site_fract_z
_atom_site_occupancy
Ba1 0.0000 0.0000 0.5000 1
Au1 0.5000 0.0000 0.0000 1
Au2 0.0000 0.5000 0.0000 1
Ag1 0.5000 0.5000 0.5000 1
Rh1 0.0000 0.0000 0.0000 1
```

- Final energy: -241.20 eV per cell
- M_tot: 0.000 μB/f.u.
- Space group: P4/mmm

No. 5
Be2AgAu: single point on PBEsol structure, meta-GGA SCAN.

The structure in CIF format:
```
data_Be2AgAu
_space_group_name_H-M_alt 'P 1'
_space_group_IT_number 1
_space_group_name_Hall 'P 1'
_cell_length_a 4.1197
_cell_length_b 4.1197
_cell_length_c 4.1197
_cell_angle_alpha 60.00
_cell_angle_beta 60.00
_cell_angle_gamma 60.00
loop_
_atom_site_label
_atom_site_fract_x
_atom_site_fract_y
_atom_site_fract_z
_atom_site_occupancy
Ag1 0.0000 0.0000 0.0000 1
Be1 0.7500 0.7500 0.7500 1
Be2 0.2500 0.2500 0.2500 1
Au1 0.5000 0.5000 0.5000 1
```

- Relative energy among the computed polymorphs: 0.0 meV per atom
- M_tot: 0.000 μB/f.u.
- Space group: Fm-3m

No. 6
Be2AgAu2: single point on PBEsol structure, meta-GGA SCAN.

The structure in CIF format:
```
data_Be2AgAu2
_space_group_name_H-M_alt 'P 1'
_space_group_IT_number 1
_space_group_name_Hall 'P 1'
_cell_length_a 2.7565
_cell_length_b 7.0728
_cell_length_c 7.0728
_cell_angle_alpha 90.00
_cell_angle_beta 90.00
_cell_angle_gamma 90.00
loop_
_atom_site_label
_atom_site_fract_x
_atom_site_fract_y
_atom_site_fract_z
_atom_site_occupancy
Au1 0.0000 0.1424 0.3576 1
Au2 0.0000 0.3576 0.8576 1
Au3 0.0000 0.6424 0.1424 1
Au4 0.0000 0.8576 0.6424 1
Be1 0.5000 0.3453 0.1547 1
Be2 0.5000 0.8453 0.3453 1
Be3 0.5000 0.1547 0.6547 1
Be4 0.5000 0.6547 0.8453 1
Ag1 0.0000 0.0000 0.0000 1
Ag2 0.0000 0.5000 0.5000 1
```

- Relative energy among the computed polymorphs: 31.1 meV per atom
- M_tot: 0.000 μB/f.u.
- Space group: P4/mbm